The following is a DFT calculation (PBE+U) of DyFe2O4 after structural relaxation.

Calculated values
total magnetic moment: 1.29 μB per atom
total energy: -7.224 eV/atom
crystal system: trigonal
excess energy over the best structure of this formula in the dataset: 40 meV per atom

Cell lengths 3.5218, 3.5218, 25.1606 Å; angles 90.00, 90.00, 120.00 degrees
Space group R-3m (No. 166, hexagonal axes)
Symmetry-distinct sites (fractional):
Dy (0.0000, 0.0000, 0.0000) (multiplicity 3)
Fe (0.0000, 0.0000, 0.2128) (multiplicity 6)
O (0.0000, 0.0000, 0.1280) (multiplicity 6)
O (0.0000, 0.0000, 0.2915) (multiplicity 6)